Entry w
# Na4Tl2Cd5

A relaxed structure of Na4Tl2Cd5 (PBE, Alexandria).

```
data_Na4Tl2Cd5
_cell_length_a 8.009
_cell_length_b 3.395
_cell_length_c 10.790
_cell_angle_alpha 90.00
_cell_angle_beta 94.03
_cell_angle_gamma 90.00
_space_group_name_H-M_alt 'P 1 2/m 1'
_space_group_IT_number 10
_space_group_name_Hall '-P 2y'
loop_
_atom_site_label
_atom_site_type_symbol
_atom_site_fract_x
_atom_site_fract_y
_atom_site_fract_z
Na1 Na 0.160 0.000 0.399
Na2 Na 0.295 0.000 0.946
Tl1 Tl 0.058 0.500 0.142
Cd1 Cd 0.212 0.500 0.666
Cd2 Cd 0.434 0.500 0.217
Cd3 Cd 0.500 0.500 0.500
```


Entry x
# Na4Tl2Cd5

A relaxed structure of Na4Tl2Cd5 (PBE, Alexandria).

```
data_Na4Tl2Cd5
_cell_length_a 15.827
_cell_length_b 5.989
_cell_length_c 6.651
_cell_angle_alpha 90.00
_cell_angle_beta 108.82
_cell_angle_gamma 90.00
_space_group_name_H-M_alt 'C 1 2/m 1'
_space_group_IT_number 12
_space_group_name_Hall '-C 2y'
loop_
_atom_site_label
_atom_site_type_symbol
_atom_site_fract_x
_atom_site_fract_y
_atom_site_fract_z
Na1 Na 0.107 0.000 0.466
Na2 Na 0.240 0.500 0.830
Tl1 Tl 0.171 0.500 0.321
Cd1 Cd 0.000 0.500 0.500
Cd2 Cd 0.071 0.242 0.899
```


Stability check: which of them is least stable? entry w.


Entry w
# Na4TlCd3

A relaxed structure of Na4TlCd3 (PBE, Alexandria).

```
data_Na4TlCd3
_cell_length_a 19.103
_cell_length_b 4.972
_cell_length_c 4.719
_cell_angle_alpha 90.00
_cell_angle_beta 104.25
_cell_angle_gamma 90.00
_space_group_name_H-M_alt 'C 1 2/m 1'
_space_group_IT_number 12
_space_group_name_Hall '-C 2y'
loop_
_atom_site_label
_atom_site_type_symbol
_atom_site_fract_x
_atom_site_fract_y
_atom_site_fract_z
Na1 Na 0.116 0.000 0.116
Na2 Na 0.248 0.500 0.248
Tl1 Tl 0.000 0.000 0.500
Cd1 Cd 0.000 0.500 0.000
Cd2 Cd 0.118 0.500 0.620
```


Entry x
# Na4TlCd3

A relaxed structure of Na4TlCd3 (PBE, Alexandria).

```
data_Na4TlCd3
_cell_length_a 19.747
_cell_length_b 4.721
_cell_length_c 4.722
_cell_angle_alpha 90.00
_cell_angle_beta 103.65
_cell_angle_gamma 90.00
_space_group_name_H-M_alt 'C 1 2/m 1'
_space_group_IT_number 12
_space_group_name_Hall '-C 2y'
loop_
_atom_site_label
_atom_site_type_symbol
_atom_site_fract_x
_atom_site_fract_y
_atom_site_fract_z
Na1 Na 0.127 0.000 0.126
Na2 Na 0.127 0.500 0.627
Tl1 Tl 0.000 0.500 0.000
Cd1 Cd 0.000 0.000 0.500
Cd2 Cd 0.250 0.000 0.749
```


Stability check: which of them is least stable? entry w.


Entry w
# Na6Tl3Cd

A relaxed structure of Na6Tl3Cd (PBE, Alexandria).

```
data_Na6Tl3Cd
_cell_length_a 12.440
_cell_length_b 3.523
_cell_length_c 13.851
_cell_angle_alpha 90.00
_cell_angle_beta 102.11
_cell_angle_gamma 90.00
_space_group_name_H-M_alt 'P 1 21/m 1'
_space_group_IT_number 11
_space_group_name_Hall '-P 2yb'
loop_
_atom_site_label
_atom_site_type_symbol
_atom_site_fract_x
_atom_site_fract_y
_atom_site_fract_z
Na1 Na 0.003 0.250 0.186
Na2 Na 0.149 0.750 0.390
Na3 Na 0.235 0.250 0.799
Na4 Na 0.288 0.250 0.220
Na5 Na 0.319 0.250 0.588
Na6 Na 0.375 0.750 0.021
Tl1 Tl 0.080 0.750 0.599
Tl2 Tl 0.124 0.250 0.004
Tl3 Tl 0.421 0.750 0.409
Cd1 Cd 0.459 0.750 0.789
```


Entry x
# Na6Tl3Cd

A relaxed structure of Na6Tl3Cd (PBE, Alexandria).

```
data_Na6Tl3Cd
_cell_length_a 9.207
_cell_length_b 5.548
_cell_length_c 11.900
_cell_angle_alpha 90.00
_cell_angle_beta 108.80
_cell_angle_gamma 90.00
_space_group_name_H-M_alt 'P 1 21/m 1'
_space_group_IT_number 11
_space_group_name_Hall '-P 2yb'
loop_
_atom_site_label
_atom_site_type_symbol
_atom_site_fract_x
_atom_site_fract_y
_atom_site_fract_z
Na1 Na 0.002 0.250 0.341
Na2 Na 0.004 0.250 0.846
Na3 Na 0.218 0.250 0.141
Na4 Na 0.218 0.750 0.478
Na5 Na 0.404 0.250 0.934
Na6 Na 0.424 0.750 0.277
Tl1 Tl 0.197 0.250 0.642
Tl2 Tl 0.199 0.750 0.962
Tl3 Tl 0.390 0.750 0.767
Cd1 Cd 0.408 0.250 0.438
```


Stability check: which of them is least stable? entry w.